<a>
! Bi2S3O12, optimized geometry, DFT PBE; values from VASP
&SYSTEM
  ibrav = 0, nat = 34, ntyp = 3
/
ATOMIC_SPECIES
Bi 208.98 Bi.upf
S 32.06 S.upf
O 16.00 O.upf
ATOMIC_POSITIONS crystal
Bi 0.144 0.647 0.942
Bi 0.353 0.856 0.558
Bi 0.647 0.144 0.442
Bi 0.856 0.353 0.058
S 0.044 0.956 0.750
S 0.251 0.465 0.244
S 0.465 0.251 0.744
S 0.535 0.749 0.256
S 0.749 0.535 0.756
S 0.956 0.044 0.250
O 0.024 0.113 0.899
O 0.071 0.799 0.776
O 0.113 0.024 0.399
O 0.131 0.400 0.237
O 0.201 0.929 0.724
O 0.217 0.454 0.074
O 0.217 0.653 0.353
O 0.347 0.783 0.147
O 0.359 0.436 0.809
O 0.400 0.131 0.737
O 0.436 0.359 0.309
O 0.454 0.217 0.574
O 0.546 0.783 0.426
O 0.564 0.641 0.691
O 0.600 0.869 0.263
O 0.641 0.564 0.191
O 0.653 0.217 0.853
O 0.783 0.347 0.647
O 0.783 0.546 0.926
O 0.799 0.071 0.276
O 0.869 0.600 0.763
O 0.887 0.976 0.601
O 0.929 0.201 0.224
O 0.976 0.887 0.101
CELL_PARAMETERS angstrom
8.079 -4.662 0.000
8.079 4.662 0.000
-5.615 0.000 8.087
! - symmetry = C2/c (15)

<b>
! Bi2S3O12, optimized geometry, DFT PBE; values from VASP
&SYSTEM
  ibrav = 0, nat = 68, ntyp = 3
/
ATOMIC_SPECIES
Bi 208.98 Bi.upf
S 32.06 S.upf
O 16.00 O.upf
ATOMIC_POSITIONS crystal
Bi 0.137 0.030 0.386
Bi 0.137 0.470 0.886
Bi 0.363 0.038 0.113
Bi 0.363 0.462 0.613
Bi 0.637 0.538 0.387
Bi 0.637 0.962 0.887
Bi 0.863 0.530 0.114
Bi 0.863 0.970 0.614
S 0.035 0.620 0.644
S 0.035 0.880 0.144
S 0.256 0.118 0.657
S 0.256 0.382 0.157
S 0.461 0.749 0.998
S 0.461 0.751 0.498
S 0.539 0.249 0.502
S 0.539 0.251 0.002
S 0.744 0.618 0.843
S 0.744 0.882 0.343
S 0.965 0.120 0.856
S 0.965 0.380 0.356
O 0.044 0.736 0.187
O 0.044 0.764 0.687
O 0.113 0.514 0.731
O 0.113 0.986 0.231
O 0.129 0.091 0.686
O 0.129 0.409 0.186
O 0.137 0.616 0.597
O 0.137 0.884 0.097
O 0.154 0.083 0.935
O 0.154 0.417 0.435
O 0.164 0.105 0.542
O 0.164 0.395 0.042
O 0.281 0.692 0.954
O 0.281 0.808 0.454
O 0.325 0.235 0.191
O 0.325 0.265 0.691
O 0.404 0.014 0.710
O 0.404 0.486 0.210
O 0.406 0.138 0.439
O 0.406 0.362 0.939
O 0.473 0.705 0.410
O 0.473 0.795 0.910
O 0.494 0.627 0.567
O 0.494 0.873 0.067
O 0.506 0.127 0.933
O 0.506 0.373 0.433
O 0.527 0.205 0.090
O 0.527 0.295 0.590
O 0.594 0.638 0.061
O 0.594 0.862 0.561
O 0.596 0.514 0.790
O 0.596 0.986 0.290
O 0.675 0.735 0.309
O 0.675 0.765 0.809
O 0.719 0.192 0.546
O 0.719 0.308 0.046
O 0.836 0.605 0.958
O 0.836 0.895 0.458
O 0.846 0.583 0.565
O 0.846 0.917 0.065
O 0.863 0.116 0.903
O 0.863 0.384 0.403
O 0.871 0.591 0.814
O 0.871 0.909 0.314
O 0.887 0.014 0.769
O 0.887 0.486 0.269
O 0.956 0.236 0.313
O 0.956 0.264 0.813
CELL_PARAMETERS angstrom
9.204 0.000 0.000
0.000 9.424 0.000
-8.810 0.000 12.786
! - symmetry = P2_1/c (14)

Relative energy table, unit meV per atom: <a> 5; <b> 0

<a>
! Bi4SO5, optimized geometry, DFT PBE; values from VASP
&SYSTEM
  ibrav = 0, nat = 10, ntyp = 3
/
ATOMIC_SPECIES
Bi 208.98 Bi.upf
S 32.06 S.upf
O 16.00 O.upf
ATOMIC_POSITIONS crystal
Bi 0.019 0.019 0.231
Bi 0.277 0.277 0.235
Bi 0.723 0.723 0.765
Bi 0.981 0.981 0.769
S 0.500 0.500 0.500
O 0.163 0.163 0.355
O 0.188 0.188 0.904
O 0.500 0.500 0.000
O 0.812 0.812 0.096
O 0.837 0.837 0.645
CELL_PARAMETERS angstrom
7.776 -1.938 0.000
7.776 1.938 0.000
-2.418 0.000 6.600
! - symmetry = C2/m (12)

<b>
! Bi4SO5, optimized geometry, DFT PBE; values from VASP
&SYSTEM
  ibrav = 0, nat = 20, ntyp = 3
/
ATOMIC_SPECIES
Bi 208.98 Bi.upf
S 32.06 S.upf
O 16.00 O.upf
ATOMIC_POSITIONS crystal
Bi 0.020 0.250 0.023
Bi 0.250 0.524 0.433
Bi 0.250 0.976 0.433
Bi 0.480 0.250 0.023
Bi 0.520 0.750 0.977
Bi 0.750 0.024 0.567
Bi 0.750 0.476 0.567
Bi 0.980 0.750 0.977
S 0.250 0.250 0.622
S 0.750 0.750 0.378
O 0.017 0.049 0.246
O 0.017 0.451 0.246
O 0.250 0.750 0.090
O 0.483 0.049 0.246
O 0.483 0.451 0.246
O 0.517 0.549 0.754
O 0.517 0.951 0.754
O 0.750 0.250 0.910
O 0.983 0.549 0.754
O 0.983 0.951 0.754
CELL_PARAMETERS angstrom
7.482 0.000 0.000
0.000 8.289 0.000
0.000 0.000 6.395
! - symmetry = Pmmn (59)

Relative energy table, unit meV per atom: <a> 16; <b> 0

<a>
! BiSbO2, optimized geometry, DFT PBE; values from VASP
&SYSTEM
  ibrav = 0, nat = 16, ntyp = 3
/
ATOMIC_SPECIES
Bi 208.98 Bi.upf
Sb 121.76 Sb.upf
O 16.00 O.upf
ATOMIC_POSITIONS crystal
Bi 0.000 0.000 0.000
Bi 0.000 0.500 0.250
Bi 0.500 0.000 0.750
Bi 0.500 0.500 0.500
Sb 0.000 0.000 0.500
Sb 0.000 0.500 0.750
Sb 0.500 0.000 0.250
Sb 0.500 0.500 0.000
O 0.159 0.250 0.625
O 0.250 0.659 0.875
O 0.250 0.841 0.375
O 0.341 0.250 0.125
O 0.659 0.750 0.125
O 0.750 0.159 0.375
O 0.750 0.341 0.875
O 0.841 0.750 0.625
CELL_PARAMETERS angstrom
5.684 0.000 0.000
0.000 5.684 0.000
0.000 0.000 10.336
! - symmetry = I-42d (122)

<b>
! BiSbO2, optimized geometry, DFT PBE; values from VASP
&SYSTEM
  ibrav = 0, nat = 12, ntyp = 3
/
ATOMIC_SPECIES
Bi 208.98 Bi.upf
Sb 121.76 Sb.upf
O 16.00 O.upf
ATOMIC_POSITIONS crystal
Bi 0.000 0.000 0.000
Bi 0.333 0.667 0.667
Bi 0.667 0.333 0.333
Sb 0.000 0.000 0.500
Sb 0.333 0.667 0.167
Sb 0.667 0.333 0.833
O 0.000 0.000 0.112
O 0.000 0.000 0.888
O 0.333 0.667 0.555
O 0.333 0.667 0.778
O 0.667 0.333 0.222
O 0.667 0.333 0.445
CELL_PARAMETERS angstrom
3.506 0.000 0.000
-1.753 3.036 0.000
0.000 0.000 21.282
! - symmetry = R-3m (166)

<c>
! BiSbO2, optimized geometry, DFT PBE; values from VASP
&SYSTEM
  ibrav = 0, nat = 16, ntyp = 3
/
ATOMIC_SPECIES
Bi 208.98 Bi.upf
Sb 121.76 Sb.upf
O 16.00 O.upf
ATOMIC_POSITIONS crystal
Bi 0.000 0.000 0.000
Bi 0.000 0.500 0.500
Bi 0.500 0.000 0.500
Bi 0.500 0.500 0.000
Sb 0.000 0.000 0.500
Sb 0.000 0.500 0.000
Sb 0.500 0.000 0.000
Sb 0.500 0.500 0.500
O 0.250 0.250 0.250
O 0.250 0.250 0.750
O 0.250 0.750 0.250
O 0.250 0.750 0.750
O 0.750 0.250 0.250
O 0.750 0.250 0.750
O 0.750 0.750 0.250
O 0.750 0.750 0.750
CELL_PARAMETERS angstrom
6.340 0.000 0.000
0.000 6.340 0.000
0.000 0.000 6.340
! - symmetry = Fm-3m (225)

Relative energy table, unit meV per atom: <a> 297; <b> 0; <c> 627

<a>
! Bi2SbO6, optimized geometry, DFT PBE; values from VASP
&SYSTEM
  ibrav = 0, nat = 9, ntyp = 3
/
ATOMIC_SPECIES
Bi 208.98 Bi.upf
Sb 121.76 Sb.upf
O 16.00 O.upf
ATOMIC_POSITIONS crystal
Bi 0.161 0.161 0.000
Bi 0.839 0.839 0.000
Sb 0.500 0.500 0.000
O 0.113 0.351 0.762
O 0.280 0.000 0.280
O 0.411 0.649 0.762
O 0.589 0.351 0.238
O 0.720 0.000 0.720
O 0.887 0.649 0.238
CELL_PARAMETERS angstrom
-1.957 2.719 5.604
1.957 -2.719 5.604
1.957 2.719 -5.604
! - symmetry = Immm (71)

<b>
! Bi2SbO6, optimized geometry, DFT PBE; values from VASP
&SYSTEM
  ibrav = 0, nat = 9, ntyp = 3
/
ATOMIC_SPECIES
Bi 208.98 Bi.upf
Sb 121.76 Sb.upf
O 16.00 O.upf
ATOMIC_POSITIONS crystal
Bi 0.177 0.177 0.000
Bi 0.823 0.823 0.000
Sb 0.500 0.500 0.000
O 0.181 0.663 0.000
O 0.250 0.750 0.500
O 0.337 0.337 0.519
O 0.663 0.181 0.000
O 0.750 0.250 0.500
O 0.819 0.819 0.481
CELL_PARAMETERS angstrom
-2.108 2.108 7.992
2.108 -2.108 7.992
2.108 2.108 -7.992
! - symmetry = I-42m (121)

Relative energy table, unit meV per atom: <a> 0; <b> 101

<a>
! BiSb2TeO, optimized geometry, DFT PBE; values from VASP
&SYSTEM
  ibrav = 0, nat = 5, ntyp = 4
/
ATOMIC_SPECIES
Bi 208.98 Bi.upf
Sb 121.76 Sb.upf
Te 127.60 Te.upf
O 16.00 O.upf
ATOMIC_POSITIONS crystal
Bi 0.000 0.000 0.000
Sb 0.000 0.500 0.500
Sb 0.500 0.000 0.500
Te 0.500 0.500 0.000
O 0.500 0.500 0.500
CELL_PARAMETERS angstrom
4.823 0.000 0.000
0.000 4.823 0.000
0.000 0.000 5.182
! - symmetry = P4/mmm (123)

<b>
! BiSb2TeO, optimized geometry, DFT PBE; values from VASP
&SYSTEM
  ibrav = 0, nat = 5, ntyp = 4
/
ATOMIC_SPECIES
Bi 208.98 Bi.upf
Sb 121.76 Sb.upf
Te 127.60 Te.upf
O 16.00 O.upf
ATOMIC_POSITIONS crystal
Bi 0.000 0.000 0.000
Sb 0.000 0.500 0.000
Sb 0.500 0.000 0.000
Te 0.000 0.000 0.500
O 0.500 0.500 0.500
CELL_PARAMETERS angstrom
5.852 0.000 0.000
0.000 5.852 0.000
0.000 0.000 5.889
! - symmetry = P4/mmm (123)

Relative energy table, unit meV per atom: <a> 0; <b> 1387

<a>
! Sc2BiO, optimized geometry, DFT PBE; values from VASP
&SYSTEM
  ibrav = 0, nat = 8, ntyp = 3
/
ATOMIC_SPECIES
Sc 44.96 Sc.upf
Bi 208.98 Bi.upf
O 16.00 O.upf
ATOMIC_POSITIONS crystal
Sc 0.000 0.000 0.000
Sc 0.067 0.500 0.700
Sc 0.500 0.500 0.000
Sc 0.567 0.000 0.700
Bi 0.435 0.000 0.305
Bi 0.935 0.500 0.305
O 0.402 0.500 0.708
O 0.902 0.000 0.708
CELL_PARAMETERS angstrom
6.105 0.000 0.000
0.000 3.516 0.000
-2.046 0.000 8.169
! - symmetry = Cm (8)

<b>
! Sc2BiO, optimized geometry, DFT PBE; values from VASP
&SYSTEM
  ibrav = 0, nat = 12, ntyp = 3
/
ATOMIC_SPECIES
Sc 44.96 Sc.upf
Bi 208.98 Bi.upf
O 16.00 O.upf
ATOMIC_POSITIONS crystal
Sc 0.000 0.000 0.120
Sc 0.000 0.000 0.880
Sc 0.333 0.667 0.547
Sc 0.333 0.667 0.786
Sc 0.667 0.333 0.214
Sc 0.667 0.333 0.453
Bi 0.000 0.000 0.000
Bi 0.333 0.667 0.667
Bi 0.667 0.333 0.333
O 0.000 0.000 0.500
O 0.333 0.667 0.167
O 0.667 0.333 0.833
CELL_PARAMETERS angstrom
3.376 0.000 0.000
-1.688 2.924 0.000
0.000 0.000 24.504
! - symmetry = R-3m (166)

<c>
! Sc2BiO, optimized geometry, DFT PBE; values from VASP
&SYSTEM
  ibrav = 0, nat = 8, ntyp = 3
/
ATOMIC_SPECIES
Sc 44.96 Sc.upf
Bi 208.98 Bi.upf
O 16.00 O.upf
ATOMIC_POSITIONS crystal
Sc 0.250 0.250 0.175
Sc 0.250 0.750 0.500
Sc 0.750 0.250 0.500
Sc 0.750 0.750 0.825
Bi 0.250 0.250 0.814
Bi 0.750 0.750 0.186
O 0.250 0.250 0.433
O 0.750 0.750 0.567
CELL_PARAMETERS angstrom
4.254 0.000 0.000
0.000 4.254 0.000
0.000 0.000 8.449
! - symmetry = P4/nmm (129)

<d>
! Sc2BiO, optimized geometry, DFT PBE; values from VASP
&SYSTEM
  ibrav = 0, nat = 16, ntyp = 3
/
ATOMIC_SPECIES
Sc 44.96 Sc.upf
Bi 208.98 Bi.upf
O 16.00 O.upf
ATOMIC_POSITIONS crystal
Sc 0.250 0.250 0.250
Sc 0.250 0.250 0.750
Sc 0.250 0.750 0.250
Sc 0.250 0.750 0.750
Sc 0.750 0.250 0.250
Sc 0.750 0.250 0.750
Sc 0.750 0.750 0.250
Sc 0.750 0.750 0.750
Bi 0.000 0.000 0.000
Bi 0.000 0.500 0.500
Bi 0.500 0.000 0.500
Bi 0.500 0.500 0.000
O 0.000 0.000 0.500
O 0.000 0.500 0.000
O 0.500 0.000 0.000
O 0.500 0.500 0.500
CELL_PARAMETERS angstrom
6.792 0.000 0.000
0.000 6.792 0.000
0.000 0.000 6.792
! - symmetry = Fm-3m (225)

Relative energy table, unit meV per atom: <a> 264; <b> 495; <c> 0; <d> 1091